Entry from Alexandria: SrSn3Br8 after structural relaxation (PBE).

```
SrSn3Br8
1.0
-5.801 -3.347 -5.890
8.762 -0.918 -1.355
-4.055 -4.185 6.372
Br Sn Sr
8 3 1
Direct
0.751 0.009 0.765
0.253 0.506 0.763
0.249 0.991 0.235
0.249 0.497 0.235
0.742 0.991 0.235
0.751 0.503 0.765
0.747 0.494 0.237
0.258 0.009 0.765
0.500 0.500 0.000
0.000 0.500 0.000
0.500 0.000 0.000
0.000 0.000 0.000
```

Calculated values
Formation energy from raw total energies ... -1272 kJ/mol of formula units
Space group ... C2/m
Magnetic moment ... 0.0 μB/cell

---

Entry from Alexandria: Cs2SrAg after structural relaxation (PBE).

```
Cs2SrAg
1.0
-0.941 -0.593 12.946
11.622 -5.782 0.579
6.802 -0.227 7.005
Sr Ag Cs
2 2 4
Direct
0.250 0.750 0.500
0.500 0.500 0.000
0.750 0.250 0.500
0.000 0.000 0.000
0.749 0.125 0.250
0.375 0.251 0.750
0.875 0.999 0.750
0.001 0.625 0.250
```

Calculated values
Formation energy ... 0.15 eV per atom
Space group ... I-42d
Offset from the most stable computed form ... 0 meV per atom
Magnetic moment ... 0.0 μB/cell

---

Entry from Alexandria: AlTlHg2I after structural relaxation (PBE).

```
AlTlHg2I
1.0
5.314 0.000 0.000
0.000 5.314 0.000
0.000 0.000 5.762
Tl Al I Hg
1 1 1 2
Direct
0.000 0.000 0.500
0.000 0.000 0.000
0.500 0.500 0.500
0.000 0.500 0.000
0.500 0.000 0.000
```

Calculated values
Formation energy from raw total energies ... -47 kJ/mol of formula units
Space group ... P4/mmm
Magnetic moment ... 0.0 μB/cell

---

Entry from Alexandria: Ba3Dy3YSe8 after structural relaxation (PBE).

```
Ba3Dy3YSe8
1.0
-7.699 3.421 0.027
2.409 -5.001 6.340
3.632 8.178 -0.530
Se Y Ba Dy
8 1 3 3
Direct
0.238 0.477 0.711
0.762 0.523 0.289
0.262 0.525 0.287
0.762 0.027 0.289
0.738 0.475 0.713
0.265 0.027 0.289
0.238 0.973 0.711
0.735 0.973 0.711
0.000 0.000 0.500
0.000 0.000 0.000
0.500 0.500 0.000
0.000 0.500 0.000
0.000 0.500 0.500
0.500 0.000 0.500
0.500 0.500 0.500
```

Calculated values
Formation energy from raw total energies ... -2791 kJ/mol of formula units
Space group ... R-3m
Magnetic moment ... 0.0 μB/cell

---

Entry from Alexandria: Pr12Hg3N4 after structural relaxation (PBE).

```
Pr12Hg3N4
1.0
8.269 0.000 -2.923
-4.134 7.161 -2.923
0.000 0.000 8.770
Pr Hg N
12 3 4
Direct
0.730 0.496 0.766
0.234 0.730 0.964
0.504 0.234 0.270
0.496 0.766 0.730
0.270 0.504 0.234
0.234 0.270 0.504
0.964 0.234 0.730
0.766 0.730 0.496
0.730 0.964 0.234
0.036 0.766 0.270
0.766 0.270 0.036
0.270 0.036 0.766
0.500 0.000 0.500
0.000 0.500 0.500
0.500 0.500 0.000
0.000 0.500 0.000
0.000 0.000 0.500
0.500 0.000 0.000
0.500 0.500 0.500
```

Calculated values
Formation energy from raw total energies ... -1142 kJ/mol of formula units
Space group ... Im-3
Magnetic moment ... 0.0 μB/cell

---

Entry from Alexandria: BeCu2Se after structural relaxation (PBE).

```
BeCu2Se
1.0
3.483 0.000 0.000
0.000 3.719 -0.022
0.000 2.847 4.115
Se Be Cu
1 1 2
Direct
0.500 0.500 0.500
0.000 0.000 0.500
0.500 0.500 0.000
0.000 0.000 0.000
```

Calculated values
Formation energy from raw total energies ... 85 kJ/mol of formula units
Space group ... P2/m
Offset from the most stable computed form ... 145 meV per atom
Magnetic moment ... 0.0 μB/cell